Compound: TaVPt2
Source: Alexandria via LeMat-Bulk
Functional: PBE
Structure: relaxed

Raw total energy (eV/f.u.): -34.75
Space group: P4/mmm, No. 123
Mass density (g/cm3): 16.2
Offset from the most stable computed form (meV/atom): 189.6

Lattice parameters (Å, degrees): 3.4277 3.4277 5.4421 90.00 90.00 90.00
With the nearest neighbours (Å) after each atom.
Atoms (fractional coordinates):
Ta  0.0000  0.0000  0.0000  2 V 2.72, 8 Pt 2.79
V  0.0000  0.0000  0.5000  2 Ta 2.72, 8 Pt 2.77
Pt  0.5000  0.5000  0.2542  2 Pt 2.68-2.77, 4 V 2.77, 4 Ta 2.79
Pt  0.5000  0.5000  0.7458  2 Pt 2.68-2.77, 4 V 2.77, 4 Ta 2.79

Compound: Ta2VPt
Source: Alexandria via LeMat-Bulk
Functional: PBE
Structure: relaxed

Raw total energy (eV/f.u.): -40.15
Space group: P4/mmm, No. 123
Mass density (g/cm3): 15.4

Lattice parameters (Å, degrees): 3.2275 3.2275 6.2820 90.00 90.00 90.00
With the nearest neighbours (Å) after each atom.
Atoms (fractional coordinates):
Ta  0.0000  0.0000  0.2364  4 V 2.72, 4 Pt 2.82, 1 Ta 2.97
Ta  0.0000  0.0000  0.7636  4 V 2.72, 4 Pt 2.82, 1 Ta 2.97
V  0.5000  0.5000  0.0000  8 Ta 2.72
Pt  0.5000  0.5000  0.5000  8 Ta 2.82, 2 V 3.14

Copy entry 2 word for word.
Compound: Ta2VPt
Source: Alexandria via LeMat-Bulk
Functional: PBE
Structure: relaxed

Raw total energy (eV/f.u.): -40.15
Space group: P4/mmm, No. 123
Mass density (g/cm3): 15.4

Lattice parameters (Å, degrees): 3.2275 3.2275 6.2820 90.00 90.00 90.00
With the nearest neighbours (Å) after each atom.
Atoms (fractional coordinates):
Ta  0.0000  0.0000  0.2364  4 V 2.72, 4 Pt 2.82, 1 Ta 2.97
Ta  0.0000  0.0000  0.7636  4 V 2.72, 4 Pt 2.82, 1 Ta 2.97
V  0.5000  0.5000  0.0000  8 Ta 2.72
Pt  0.5000  0.5000  0.5000  8 Ta 2.82, 2 V 3.14

Repeat the second record exactly.
Compound: Ta2VPt
Source: Alexandria via LeMat-Bulk
Functional: PBE
Structure: relaxed

Raw total energy (eV/f.u.): -40.15
Space group: P4/mmm, No. 123
Mass density (g/cm3): 15.4

Lattice parameters (Å, degrees): 3.2275 3.2275 6.2820 90.00 90.00 90.00
With the nearest neighbours (Å) after each atom.
Atoms (fractional coordinates):
Ta  0.0000  0.0000  0.2364  4 V 2.72, 4 Pt 2.82, 1 Ta 2.97
Ta  0.0000  0.0000  0.7636  4 V 2.72, 4 Pt 2.82, 1 Ta 2.97
V  0.5000  0.5000  0.0000  8 Ta 2.72
Pt  0.5000  0.5000  0.5000  8 Ta 2.82, 2 V 3.14

Question: Which value of mass density does entry 1 give?
Answer: 16.2 g/cm3